First-principles (GGA+U) data for a relaxed structure of Ni2OsO2, as listed in Alexandria via LeMat-Bulk.

CIF file:
```
data_Ni2OsO2
_symmetry_space_group_name_H-M 'I 4/m m m'
_symmetry_Int_Tables_number 139
_symmetry_space_group_name_Hall '-I 4 2'
_cell_length_a 4.263
_cell_length_b 4.263
_cell_length_c 6.949
_cell_angle_alpha 90.00
_cell_angle_beta 90.00
_cell_angle_gamma 90.00
loop_
_atom_site_label
_atom_site_fract_x
_atom_site_fract_y
_atom_site_fract_z
_atom_site_occupancy
Ni1 0.000 0.500 0.250 1
Os1 0.000 0.000 0.000 1
O1 0.000 0.000 0.268 1
```

Computed properties:
D(E_F) (states/eV/atom): 0.37
Relative energy among the computed polymorphs (eV/atom): 0.150
V (Å³/atom): 12.63